[1]
First-principles (PBE) data for crystalline Li2Tm2NpS6 at its relaxed geometry, as listed in Alexandria.

Lattice parameters (Å, degrees): 6.7702 11.7253 6.5399 90.00 109.82 90.00
Space group C2/m (No. 12)
Inequivalent atoms, fractional coordinates:
Li: 0.0000 0.1693 0.0000 [4 per cell]
Tm: 0.0000 0.3346 0.5000 [4 per cell]
Np: 0.0000 0.0000 0.5000 [2 per cell]
S: 0.2417 0.1690 0.7419 [8 per cell]
S: 0.2467 0.0000 0.2579 [4 per cell]

## Properties
energy = -137.5 eV per cell
E_form (uncorrected) = -18.30 eV/f.u.
DOS(E_F) = 6.8 states/eV/f.u.

[2]
First-principles (PBE) data for crystalline InCu2Pb at its relaxed geometry, as listed in Alexandria.

Lattice parameters (Å, degrees): 3.1446 4.3298 12.1156 90.00 90.00 90.00
Space group Imm2 (No. 44)
Inequivalent atoms, fractional coordinates:
In: 0.0000 0.0000 0.0000 [2 per cell]
Cu: 0.0000 0.0000 0.5119 [2 per cell]
Cu: 0.0000 0.5000 0.8454 [2 per cell]
Pb: 0.0000 0.5000 0.2334 [2 per cell]

## Properties
energy = -27.9 eV per cell
energy of formation = 67 kJ/mol of formula units
DOS(E_F) = 1.6 states/eV/f.u.

[3]
First-principles (PBE) data for crystalline AlSi2Ni at its relaxed geometry, as listed in Alexandria.

Lattice parameters (Å, degrees): 3.7984 3.7984 4.7661 90.00 90.00 120.00
Space group P-3m1 (No. 164)
Inequivalent atoms, fractional coordinates:
Al: 0.0000 0.0000 0.0000 [1 per cell]
Si: 0.3333 0.6667 0.3270 [2 per cell]
Ni: 0.0000 0.0000 0.5000 [1 per cell]

## Properties
energy = -21.4 eV per cell
E_form (uncorrected) = -1.06 eV/f.u.
DOS(E_F) = 1.2 states/eV/f.u.